# PBE-GGA Li2TcSb, optimized geometry
data_Li2TcSb
_chemical_formula_sum 'Li4 Tc2 Sb2'
_symmetry_space_group_name_H-M 'C m m 2'
_symmetry_Int_Tables_number 35
_cell_length_a 3.3948
_cell_length_b 5.0580
_cell_length_c 8.9259
_cell_angle_alpha 90.00
_cell_angle_beta 90.00
_cell_angle_gamma 90.00
loop_
_symmetry_equiv_pos_as_xyz
'x,y,z'
'-x,-y,z'
'-x,y,z'
'x,-y,z'
'x+1/2,y+1/2,z'
'-x+1/2,-y+1/2,z'
'-x+1/2,y+1/2,z'
'x+1/2,-y+1/2,z'
loop_
_atom_site_label
_atom_site_fract_x
_atom_site_fract_y
_atom_site_fract_z
_atom_site_occupancy
Li1 0.0000 0.0000 0.0000 1
Li2 0.0000 0.5000 0.2803 1
Tc1 0.0000 0.0000 0.5132 1
Sb1 0.0000 0.5000 0.7365 1
# **Formation energy (no corrections)**: 0.285 eV/atom

# PBE-GGA BaLiTe2Au, optimized geometry
data_BaLiTe2Au
_chemical_formula_sum 'Ba4 Li4 Te8 Au4'
_symmetry_space_group_name_H-M 'C m m e'
_symmetry_Int_Tables_number 67
_symmetry_space_group_name_Hall '-C 2a 2'
_cell_length_a 6.4457
_cell_length_b 15.3761
_cell_length_c 6.2558
_cell_angle_alpha 90.00
_cell_angle_beta 90.00
_cell_angle_gamma 90.00
loop_
_atom_site_label
_atom_site_fract_x
_atom_site_fract_y
_atom_site_fract_z
_atom_site_occupancy
Ba1 0.0000 0.2500 0.2286 1
Li1 0.2500 0.0000 0.5000 1
Te1 0.0000 0.1292 0.7281 1
Au1 0.0000 0.0000 0.0000 1
# **Formation energy (no corrections)**: -0.987 eV/atom